Record 1
VASP calculation (PBE) on a relaxed ScMnIr2 crystal.

It has space group Imm2 (No. 44), with a = 3.1103 Å, b = 4.3564 Å, c = 9.2180 Å, α = 90.00°, β = 90.00° and γ = 90.00°. The asymmetric unit holds Sc at (0.0000, 0.0000, 0.0000), Mn at (0.0000, 0.5000, 0.2371), Ir at (0.0000, 0.0000, 0.5068) and Ir at (0.0000, 0.5000, 0.7536).

The value obtained for the volume is 15.6 Å³/atom. The calculation puts the energy of formation at -8.0 kcal/mol of atoms.

Record 2
VASP calculation (PBE) on a relaxed ScMnIr crystal.

It has space group P3m1 (No. 156), with a = 4.3657 Å, b = 4.3657 Å, c = 2.9608 Å, α = 90.00°, β = 90.00° and γ = 120.00°. The asymmetric unit holds Sc at (0.0000, 0.0000, 0.0000), Mn at (0.3333, 0.6667, 0.6069) and Ir at (0.6667, 0.3333, 0.3605).

The value obtained for the volume is 16.3 Å³/atom. The energy relative to the lowest polymorph listed for this composition comes out at 0.1206 eV per atom. The calculation puts the energy of formation at -7.4 kcal/mol of atoms.

Record 3
VASP calculation (PBE) on a relaxed ScMnIr2 crystal.

It has space group I-42d (No. 122), with a = 4.0041 Å, b = 4.0041 Å, c = 17.4061 Å, α = 90.00°, β = 90.00° and γ = 90.00°. The asymmetric unit holds Sc at (0.0000, 0.0000, 0.0000), Mn at (0.0000, 0.0000, 0.5000) and Ir at (0.2071, 0.2500, 0.6250).

The value obtained for the volume is 17.4 Å³/atom. The calculation puts the energy of formation at 2.8 kcal/mol of atoms.

Record 4
VASP calculation (PBE) on a relaxed Sc2MnIr crystal.

It has space group P4mm (No. 99), with a = 3.1089 Å, b = 3.1089 Å, c = 7.8003 Å, α = 90.00°, β = 90.00° and γ = 90.00°. The asymmetric unit holds Sc at (0.0000, 0.0000, 0.0000), Sc at (0.5000, 0.5000, 0.3622), Mn at (0.5000, 0.5000, 0.7673) and Ir at (0.0000, 0.0000, 0.5676).

The value obtained for the volume is 18.8 Å³/atom. The calculation puts the energy of formation at -5.5 kcal/mol of atoms.

Record 5
VASP calculation (PBE) on a relaxed Sc2MnIr crystal.

It has space group Pmm2 (No. 25), with a = 3.0261 Å, b = 4.2454 Å, c = 5.5020 Å, α = 90.00°, β = 90.00° and γ = 90.00°. The asymmetric unit holds Sc at (0.0000, 0.0000, 0.0000), Sc at (0.5000, 0.5000, 0.3299), Mn at (0.5000, 0.5000, 0.8015) and Ir at (0.0000, 0.0000, 0.5136).

The value obtained for the volume is 17.7 Å³/atom. The calculation puts the energy of formation at -5.2 kcal/mol of atoms.

Record 6
VASP calculation (PBE) on a relaxed Sc2MnIr crystal.

It has space group R-3m (No. 166, hexagonal axes), with a = 3.0753 Å, b = 3.0753 Å, c = 26.2205 Å, α = 90.00°, β = 90.00° and γ = 120.00°. The asymmetric unit holds Sc at (0.0000, 0.0000, 0.2471), Mn at (0.0000, 0.0000, 0.0000) and Ir at (0.0000, 0.0000, 0.5000).

The value obtained for the volume is 17.9 Å³/atom. The calculation puts the energy of formation at -2.5 kcal/mol of atoms.

Record 7
VASP calculation (PBE) on a relaxed ScMnIr2 crystal.

It has space group R-3m (No. 166, hexagonal axes), with a = 2.9570 Å, b = 2.9570 Å, c = 25.0686 Å, α = 90.00°, β = 90.00° and γ = 120.00°. The asymmetric unit holds Sc at (0.0000, 0.0000, 0.0000), Mn at (0.0000, 0.0000, 0.5000) and Ir at (0.0000, 0.0000, 0.2475).

The value obtained for the volume is 15.8 Å³/atom. The calculation puts the energy of formation at -4.8 kcal/mol of atoms.

Record 8
VASP calculation (PBE) on a relaxed Sc6MnIr5 crystal.

It has space group P2/m (No. 10), with a = 4.6090 Å, b = 6.3900 Å, c = 7.2794 Å, α = 90.00°, β = 108.38° and γ = 90.00°. The asymmetric unit holds Sc at (0.0000, 0.2484, 0.0000), Sc at (0.3317, 0.2497, 0.6638), Mn at (0.5000, 0.5000, 0.0000), Ir at (0.1639, 0.5000, 0.3268), Ir at (0.1671, 0.0000, 0.3338) and Ir at (0.5000, 0.0000, 0.0000).

The value obtained for the volume is 17.0 Å³/atom. The calculation puts the energy of formation at -19.4 kcal/mol of atoms.

Record 9
VASP calculation (PBE) on a relaxed Sc2MnIr crystal.

It has space group Imm2 (No. 44), with a = 3.1905 Å, b = 4.5633 Å, c = 9.7733 Å, α = 90.00°, β = 90.00° and γ = 90.00°. The asymmetric unit holds Sc at (0.0000, 0.0000, 0.0000), Sc at (0.0000, 0.5000, 0.2160), Mn at (0.0000, 0.0000, 0.4446) and Ir at (0.0000, 0.5000, 0.7328).

The value obtained for the volume is 17.8 Å³/atom. The calculation puts the energy of formation at -9.5 kcal/mol of atoms.

Record 10
VASP calculation (PBE) on a relaxed Sc2MnIr crystal.

It has space group I-42d (No. 122), with a = 7.3194 Å, b = 7.3194 Å, c = 5.7198 Å, α = 90.00°, β = 90.00° and γ = 90.00°. The asymmetric unit holds Sc at (0.2226, 0.2500, 0.1250), Mn at (0.0000, 0.0000, 0.5000) and Ir at (0.0000, 0.0000, 0.0000).

The value obtained for the volume is 19.2 Å³/atom. The calculation puts the energy of formation at -0.9 kcal/mol of atoms.

Record 11
VASP calculation (PBE) on a relaxed Sc2MnIr crystal.

It has space group Pm (No. 6), with a = 3.1746 Å, b = 4.3927 Å, c = 5.3858 Å, α = 90.00°, β = 107.06° and γ = 90.00°. The asymmetric unit holds Sc at (0.0000, 0.0000, 0.0000), Sc at (0.3068, 0.5000, 0.6155), Mn at (0.7244, 0.0000, 0.4511) and Ir at (0.5808, 0.5000, 0.1619).

The value obtained for the volume is 17.9 Å³/atom. The calculation puts the energy of formation at -8.5 kcal/mol of atoms.

Record 12
VASP calculation (PBE) on a relaxed ScMnIr crystal.

It has space group F-43m (No. 216), with a = 6.1912 Å, b = 6.1912 Å, c = 6.1912 Å, α = 90.00°, β = 90.00° and γ = 90.00°. The asymmetric unit holds Sc at (0.0000, 0.0000, 0.0000), Mn at (0.0000, 0.0000, 0.5000) and Ir at (0.2500, 0.2500, 0.2500).

The value obtained for the volume is 19.8 Å³/atom. The energy relative to the lowest polymorph listed for this composition comes out at 0.2288 eV per atom. The calculation puts the energy of formation at -4.9 kcal/mol of atoms.

Record 13
VASP calculation (PBE) on a relaxed ScMn3Ir crystal.

It has space group Pm-3m (No. 221), with a = 4.7670 Å, b = 4.7670 Å, c = 4.7670 Å, α = 90.00°, β = 90.00° and γ = 90.00°. The asymmetric unit holds Sc at (0.0000, 0.0000, 0.0000), Mn at (0.0000, 0.5000, 0.5000) and Ir at (0.5000, 0.5000, 0.5000).

The value obtained for the volume is 21.7 Å³/atom. The energy relative to the lowest polymorph listed for this composition comes out at 0.0000 eV per atom. The calculation puts the energy of formation at 16.5 kcal/mol of atoms.

Record 14
VASP calculation (PBE) on a relaxed Sc2MnIr crystal.

It has space group F-43m (No. 216), with a = 6.4981 Å, b = 6.4981 Å, c = 6.4981 Å, α = 90.00°, β = 90.00° and γ = 90.00°. The asymmetric unit holds Sc at (0.0000, 0.0000, 0.0000), Sc at (0.2500, 0.2500, 0.2500), Mn at (0.0000, 0.0000, 0.5000) and Ir at (0.2500, 0.2500, 0.7500).

The value obtained for the volume is 17.1 Å³/atom. The calculation puts the energy of formation at -6.5 kcal/mol of atoms.

Record 15
VASP calculation (PBE) on a relaxed Sc2MnIr crystal.

It has space group R3m (No. 160, hexagonal axes), with a = 3.0768 Å, b = 3.0768 Å, c = 27.4463 Å, α = 90.00°, β = 90.00° and γ = 120.00°. The asymmetric unit holds Sc at (0.0000, 0.0000, 0.0000), Sc at (0.0000, 0.0000, 0.2296), Mn at (0.0000, 0.0000, 0.4804) and Ir at (0.0000, 0.0000, 0.7399).

The value obtained for the volume is 18.8 Å³/atom. The calculation puts the energy of formation at 0.8 kcal/mol of atoms.

Record 16
VASP calculation (PBE) on a relaxed ScMnIr2 crystal.

It has space group I-4m2 (No. 119), with a = 3.8426 Å, b = 3.8426 Å, c = 8.3301 Å, α = 90.00°, β = 90.00° and γ = 90.00°. The asymmetric unit holds Sc at (0.0000, 0.0000, 0.0000), Mn at (0.0000, 0.5000, 0.2500), Ir at (0.0000, 0.0000, 0.5000) and Ir at (0.0000, 0.5000, 0.7500).

The value obtained for the volume is 15.4 Å³/atom. The calculation puts the energy of formation at -9.2 kcal/mol of atoms.

Record 17
VASP calculation (PBE) on a relaxed ScMn3Ir crystal.

It has space group Pm-3m (No. 221), with a = 4.1844 Å, b = 4.1844 Å, c = 4.1844 Å, α = 90.00°, β = 90.00° and γ = 90.00°. The asymmetric unit holds Sc at (0.0000, 0.0000, 0.0000), Mn at (0.0000, 0.0000, 0.5000) and Ir at (0.5000, 0.5000, 0.5000).

The value obtained for the volume is 14.7 Å³/atom. The energy relative to the lowest polymorph listed for this composition comes out at 1.1337 eV per atom. The calculation puts the energy of formation at 42.7 kcal/mol of atoms.

Record 18
VASP calculation (PBE) on a relaxed ScMnIr2 crystal.

It has space group R3m (No. 160, hexagonal axes), with a = 2.8378 Å, b = 2.8378 Å, c = 26.4197 Å, α = 90.00°, β = 90.00° and γ = 120.00°. The asymmetric unit holds Sc at (0.0000, 0.0000, 0.0000), Mn at (0.0000, 0.0000, 0.7532), Ir at (0.0000, 0.0000, 0.2482) and Ir at (0.0000, 0.0000, 0.4948).

The value obtained for the volume is 15.4 Å³/atom. The calculation puts the energy of formation at 0.9 kcal/mol of atoms.

Record 19
VASP calculation (PBE) on a relaxed ScMnIr2 crystal.

It has space group Pmm2 (No. 25), with a = 2.8916 Å, b = 4.0117 Å, c = 5.4422 Å, α = 90.00°, β = 90.00° and γ = 90.00°. The asymmetric unit holds Sc at (0.0000, 0.0000, 0.0000), Mn at (0.5000, 0.5000, 0.6878), Ir at (0.0000, 0.0000, 0.5091) and Ir at (0.5000, 0.5000, 0.2173).

The value obtained for the volume is 15.8 Å³/atom. The calculation puts the energy of formation at -7.5 kcal/mol of atoms.

Record 20
VASP calculation (PBE) on a relaxed ScMnIr crystal.

It has space group Cmcm (No. 63), with a = 3.1473 Å, b = 13.9091 Å, c = 4.4896 Å, α = 90.00°, β = 90.00° and γ = 90.00°. The asymmetric unit holds Sc at (0.0000, 0.0856, 0.2500), Mn at (0.0000, 0.2343, 0.7500) and Ir at (0.0000, 0.4169, 0.2500).

The value obtained for the volume is 16.4 Å³/atom. The energy relative to the lowest polymorph listed for this composition comes out at 0.0000 eV per atom. The calculation puts the energy of formation at -10.1 kcal/mol of atoms.